Version 1
Entry from the Alexandria database: an optimized crystal structure of TlCu2W (PBE).

Properties
Space group: No. 216
DOS at the Fermi energy, states/eV/cell: 4.83

a b c (Å): 4.520 4.520 4.520
angles (deg): 60.00 60.00 60.00
Last column: magnetic moment on the atom in μB.
Element x y z (fractional)
Tl 0.500 0.500 0.500  0.02
Cu 0.250 0.250 0.250  0.01
Cu 0.000 0.000 0.000  0.08
W 0.750 0.750 0.750  1.20

=====

Version 2
Entry from the Alexandria database: an optimized crystal structure of TlCu2W (PBE).

Properties
Space group: No. 71
DOS at the Fermi energy, states/eV/cell: 2.37

a b c (Å): 5.578 5.578 5.578
angles (deg): 150.45 127.57 61.34
Element x y z (fractional)
Tl 0.750 0.250 0.500
Cu 0.015 0.015 0.000
Cu 0.485 0.485 0.000
W 0.250 0.750 0.500

=====

Version 3
Entry from the Alexandria database: an optimized crystal structure of TlCu2W (PBE).

Properties
Space group: No. 123
DOS at the Fermi energy, states/eV/cell: 0.92

a b c (Å): 4.068 4.068 3.793
angles (deg): 90.00 90.00 90.00
Element x y z (fractional)
Cu 0.000 0.000 0.000
Cu 0.500 0.500 0.000
W 0.000 0.500 0.500
Tl 0.500 0.000 0.500

=====

Version 4
Entry from the Alexandria database: an optimized crystal structure of TlCu2W (PBE).

Properties
Space group: No. 123
DOS at the Fermi energy, states/eV/cell: 2.87

a b c (Å): 2.877 2.877 7.951
angles (deg): 90.00 90.00 90.00
Element x y z (fractional)
Cu 0.000 0.000 0.528
Cu 0.000 0.000 0.972
Tl 0.500 0.500 0.250
W 0.500 0.500 0.750

=====

Stability ranking, top entry: version 4; the second entry is 136 meV/atom less favorable.